Ce2Ga4NiGe2: optimized geometry, PBE.

Geometry as CIF:
```
data_Ce2Ga4NiGe2
_chemical_formula_sum 'Ce4 Ga8 Ni2 Ge4'
_symmetry_space_group_name_H-M 'I 4/m m m'
_symmetry_Int_Tables_number 139
_symmetry_space_group_name_Hall '-I 4 2'
_cell_length_a 6.185
_cell_length_b 6.185
_cell_length_c 8.945
_cell_angle_alpha 90.00
_cell_angle_beta 90.00
_cell_angle_gamma 90.00
loop_
_atom_site_label
_atom_site_fract_x
_atom_site_fract_y
_atom_site_fract_z
_atom_site_occupancy
Ce1 0.000 0.500 0.250 1
Ga1 0.221 0.221 0.000 1
Ni1 0.000 0.000 0.500 1
Ge1 0.000 0.000 0.227 1
```

## Properties
E_form	-4.98	eV per formula unit
D(E_F)	20.54	states/eV/cell
size of the total moment	1.22	μB per formula unit
DFT total energy	-87.95	eV/cell



Ce2GaNi4Ge3: optimized geometry, PBE.

Geometry as CIF:
```
data_Ce2GaNi4Ge3
_chemical_formula_sum 'Ce2 Ga1 Ni4 Ge3'
_symmetry_space_group_name_H-M 'P -4 m 2'
_symmetry_Int_Tables_number 115
_cell_length_a 4.127
_cell_length_b 4.127
_cell_length_c 9.717
_cell_angle_alpha 90.00
_cell_angle_beta 90.00
_cell_angle_gamma 90.00
loop_
_symmetry_equiv_pos_as_xyz
'x,y,z'
'y,-x,-z'
'-x,-y,z'
'-y,x,-z'
'-x,y,z'
'-y,-x,-z'
'x,-y,z'
'y,x,-z'
loop_
_atom_site_label
_atom_site_fract_x
_atom_site_fract_y
_atom_site_fract_z
_atom_site_occupancy
Ce1 0.000 0.500 0.245 1
Ga1 0.000 0.000 0.500 1
Ni1 0.000 0.000 0.000 1
Ni2 0.000 0.500 0.630 1
Ni3 0.500 0.500 0.000 1
Ge1 0.000 0.500 0.872 1
Ge2 0.500 0.500 0.500 1
```

## Properties
E_form	-6.79	eV per formula unit
D(E_F)	10.84	states/eV/cell
size of the total moment	0.00	μB per formula unit
DFT total energy	-58.66	eV/cell